La2SmSb3 PBE-GGA relaxed; energy relative to the elements, uncorrected = -120 kJ per mole of atoms; relative energy among the computed polymorphs = 0.000 eV per atom; mass density = 6.5 Mg/m³; spin magnetization = 0.000 μB/atom
1.0
7.792 0.031 -1.441
-2.985 7.198 -1.441
-0.009 -0.013 14.466
La Sm Sb
8 4 12
direct
0.999 0.499 0.999
0.417 0.417 0.834
0.833 0.333 0.666
0.251 0.251 0.501
0.749 0.749 0.499
0.667 0.167 0.334
0.583 0.583 0.166
0.501 0.001 0.001
0.917 0.917 0.833
0.333 0.833 0.667
0.167 0.667 0.333
0.083 0.083 0.167
0.166 0.671 0.831
0.665 0.160 0.831
0.084 0.079 0.669
0.585 0.590 0.669
0.006 0.506 0.500
0.494 0.994 0.500
0.410 0.415 0.331
0.921 0.916 0.331
0.840 0.335 0.169
0.329 0.834 0.169
0.244 0.244 0.000
0.756 0.756 0.000